1.
# Li3GaIr | Alexandria via LeMat-Bulk | PBE-GGA | relaxed
# DOS(E_F) (states/eV per cell): 4.1
# Mass density (g/cm³): 5.6
# Total moment (μB/cell): 0.00
# Energy relative to the elements (eV/atom): 0.742
# E (eV/atom): -2.783
# Symmetry: No. 221
data_Li3GaIr
_chemical_formula_sum 'Li3 Ga1 Ir1'
_cell_length_a 4.376
_cell_length_b 4.376
_cell_length_c 4.376
_cell_angle_alpha 90.00
_cell_angle_beta 90.00
_cell_angle_gamma 90.00
_symmetry_space_group_name_H-M 'P 1'
_symmetry_Int_Tables_number 1
_symmetry_space_group_name_Hall 'P 1'
loop_
_atom_site_label
_atom_site_fract_x
_atom_site_fract_y
_atom_site_fract_z
Li1 0.000 0.000 0.500
Li2 0.000 0.500 0.000
Li3 0.500 0.000 0.000
Ga1 0.000 0.000 0.000
Ir1 0.500 0.500 0.500

2.
# DyMgSi2Pd5 | Alexandria via LeMat-Bulk | PBE-GGA | relaxed
# DOS(E_F) (states/eV per cell): 2.8
# Mass density (g/cm³): 8.5
# Total moment (μB/cell): 0.00
# Uncorrected formation energy (kcal/mol of atoms): -17.6
# E (eV/atom): -5.542
# Symmetry: No. 123
data_DyMgSi2Pd5
_chemical_formula_sum 'Dy1 Mg1 Si2 Pd5'
_cell_length_a 4.137
_cell_length_b 4.137
_cell_length_c 8.892
_cell_angle_alpha 90.00
_cell_angle_beta 90.00
_cell_angle_gamma 90.00
_symmetry_space_group_name_H-M 'P 1'
_symmetry_Int_Tables_number 1
_symmetry_space_group_name_Hall 'P 1'
loop_
_atom_site_label
_atom_site_fract_x
_atom_site_fract_y
_atom_site_fract_z
Dy1 0.000 0.000 0.000
Mg1 0.000 0.000 0.500
Si1 0.500 0.500 0.372
Si2 0.500 0.500 0.628
Pd1 0.000 0.500 0.238
Pd2 0.000 0.500 0.762
Pd3 0.500 0.000 0.238
Pd4 0.500 0.000 0.762
Pd5 0.500 0.500 0.000

3.
# Ba4GaAu | Alexandria via LeMat-Bulk | PBE-GGA | relaxed
# DOS(E_F) (states/eV per cell): 7.8
# Mass density (g/cm³): 5.2
# Total moment (μB/cell): 0.00
# Energy relative to the elements (eV/atom): -0.366
# E (eV/atom): -2.698
# Symmetry: No. 123
data_Ba4GaAu
_chemical_formula_sum 'Ba4 Ga1 Au1'
_cell_length_a 4.136
_cell_length_b 4.136
_cell_length_c 15.226
_cell_angle_alpha 90.00
_cell_angle_beta 90.00
_cell_angle_gamma 90.00
_symmetry_space_group_name_H-M 'P 1'
_symmetry_Int_Tables_number 1
_symmetry_space_group_name_Hall 'P 1'
loop_
_atom_site_label
_atom_site_fract_x
_atom_site_fract_y
_atom_site_fract_z
Ba1 0.000 0.000 0.124
Ba2 0.000 0.000 0.876
Ba3 0.500 0.500 0.374
Ba4 0.500 0.500 0.626
Ga1 0.000 0.000 0.500
Au1 0.500 0.500 0.000

4.
# TmPuIrPb | Alexandria via LeMat-Bulk | PBE-GGA | relaxed
# DOS(E_F) (states/eV per cell): 9.2
# Mass density (g/cm³): 14.3
# Total moment (μB/cell): 5.12
# Energy relative to the elements (eV/atom): -0.260
# E (eV/atom): -8.103
# Symmetry: No. 216
data_TmPuIrPb
_chemical_formula_sum 'Tm1 Pu1 Ir1 Pb1'
_cell_length_a 5.112
_cell_length_b 5.112
_cell_length_c 5.112
_cell_angle_alpha 60.00
_cell_angle_beta 60.00
_cell_angle_gamma 60.00
_symmetry_space_group_name_H-M 'P 1'
_symmetry_Int_Tables_number 1
_symmetry_space_group_name_Hall 'P 1'
loop_
_atom_site_label
_atom_site_fract_x
_atom_site_fract_y
_atom_site_fract_z
Tm1 0.000 0.000 0.000
Pu1 0.500 0.500 0.500
Ir1 0.250 0.250 0.250
Pb1 0.750 0.750 0.750

5.
# Mn3Pd6Au | Alexandria via LeMat-Bulk | PBE-GGA | relaxed
# DOS(E_F) (states/eV per cell): 7.4
# Mass density (g/cm³): 10.7
# Total moment (μB/cell): 27.23
# Energy relative to the elements (eV/atom): -0.194
# E (eV/atom): -6.388
# Symmetry: No. 11
data_Mn3Pd6Au
_chemical_formula_sum 'Mn6 Pd12 Au2'
_cell_length_a 7.428
_cell_length_b 4.565
_cell_length_c 9.850
_cell_angle_alpha 90.00
_cell_angle_beta 111.65
_cell_angle_gamma 90.00
_symmetry_space_group_name_H-M 'P 1'
_symmetry_Int_Tables_number 1
_symmetry_space_group_name_Hall 'P 1'
loop_
_atom_site_label
_atom_site_fract_x
_atom_site_fract_y
_atom_site_fract_z
Mn1 0.082 0.250 0.223
Mn2 0.298 0.250 0.022
Mn3 0.320 0.750 0.378
Mn4 0.680 0.250 0.622
Mn5 0.702 0.750 0.978
Mn6 0.918 0.750 0.777
Pd1 0.082 0.250 0.731
Pd2 0.110 0.750 0.074
Pd3 0.297 0.250 0.523
Pd4 0.305 0.750 0.873
Pd5 0.474 0.250 0.318
Pd6 0.492 0.250 0.829
Pd7 0.508 0.750 0.171
Pd8 0.526 0.750 0.682
Pd9 0.695 0.250 0.127
Pd10 0.703 0.750 0.477
Pd11 0.890 0.250 0.926
Pd12 0.918 0.750 0.269
Au1 0.114 0.750 0.573
Au2 0.886 0.250 0.427

6.
# LuZnAgHg | Alexandria via LeMat-Bulk | PBE-GGA | relaxed
# DOS(E_F) (states/eV per cell): 1.7
# Mass density (g/cm³): 11.4
# Total moment (μB/cell): 0.00
# Energy relative to the elements (eV/atom): -0.257
# E (eV/atom): -2.494
# Symmetry: No. 216
data_LuZnAgHg
_chemical_formula_sum 'Lu1 Zn1 Ag1 Hg1'
_cell_length_a 4.835
_cell_length_b 4.835
_cell_length_c 4.835
_cell_angle_alpha 60.00
_cell_angle_beta 60.00
_cell_angle_gamma 60.00
_symmetry_space_group_name_H-M 'P 1'
_symmetry_Int_Tables_number 1
_symmetry_space_group_name_Hall 'P 1'
loop_
_atom_site_label
_atom_site_fract_x
_atom_site_fract_y
_atom_site_fract_z
Lu1 0.000 0.000 0.000
Zn1 0.500 0.500 0.500
Ag1 0.250 0.250 0.250
Hg1 0.750 0.750 0.750

7.
# AlZn2Au3 | Alexandria via LeMat-Bulk | PBE-GGA | relaxed
# DOS(E_F) (states/eV per cell): 1.6
# Mass density (g/cm³): 12.7
# Total moment (μB/cell): 0.00
# Energy relative to the elements (eV/atom): -0.243
# E (eV/atom): -2.930
# Symmetry: No. 65
data_AlZn2Au3
_chemical_formula_sum 'Al1 Zn2 Au3'
_cell_length_a 7.335
_cell_length_b 7.335
_cell_length_c 3.069
_cell_angle_alpha 90.00
_cell_angle_beta 90.00
_cell_angle_gamma 143.57
_symmetry_space_group_name_H-M 'P 1'
_symmetry_Int_Tables_number 1
_symmetry_space_group_name_Hall 'P 1'
loop_
_atom_site_label
_atom_site_fract_x
_atom_site_fract_y
_atom_site_fract_z
Al1 0.000 0.000 0.000
Zn1 0.327 0.673 0.000
Zn2 0.673 0.327 0.000
Au1 0.160 0.840 0.500
Au2 0.500 0.500 0.500
Au3 0.840 0.160 0.500